Here is an optimized crystal structure of LiLaRe2 from Alexandria via LeMat-Bulk. Energies are from PBE-GGA.

a b c (Å): 10.481 10.481 10.481
angles (deg): 15.50 15.50 15.50
Atoms (fractional coordinates):
La 0.250 0.250 0.250
Li 0.750 0.750 0.750
Re 0.008 0.008 0.008
Re 0.492 0.492 0.492

Computed properties:
Excess energy over the best structure of this formula in the dataset (eV/atom): 0.561
M_tot (μB/f.u.): 0.00



Here is an optimized crystal structure of MnSbP2 from Alexandria via LeMat-Bulk. Energies are from PBE-GGA.

a b c (Å): 5.949 5.949 5.949
angles (deg): 37.64 37.64 37.64
Atoms (fractional coordinates):
P 0.034 0.034 0.034
P 0.289 0.289 0.289
Mn 0.700 0.700 0.700
Sb 0.478 0.478 0.478

Computed properties:
Raw total energy (eV for the cell shown): -23.7
M_tot (μB/f.u.): 0.00



Here is an optimized crystal structure of ZnGa2Au8 from Alexandria via LeMat-Bulk. Energies are from PBE-GGA.

a b c (Å): 5.022 5.809 7.841
angles (deg): 112.63 106.17 96.22
Atoms (fractional coordinates):
Au 0.690 0.023 0.147
Au 0.844 0.302 0.940
Au 0.338 0.517 0.878
Au 0.207 0.809 0.244
Au 0.280 0.335 0.286
Au 0.902 0.484 0.533
Au 0.492 0.795 0.671
Au 0.974 0.009 0.574
Zn 0.091 0.909 0.909
Ga 0.686 0.593 0.226
Ga 0.496 0.225 0.592

Computed properties:
Excess energy over the best structure of this formula in the dataset (eV/atom): 0.000
M_tot (μB/f.u.): 0.00



Here is an optimized crystal structure of La2ReTcIr from Alexandria via LeMat-Bulk. Energies are from PBE-GGA.

a b c (Å): 5.512 4.673 5.512
angles (deg): 90.00 90.00 90.00
Each line ends with the local moment (μB).
Atoms (fractional coordinates):
Ir 0.000 0.000 0.000  -0.01
Re 0.500 0.500 0.500  2.24
Tc 0.000 0.500 0.000  -0.37
La 0.000 0.000 0.500  -0.03
La 0.500 0.000 0.000  -0.05

Computed properties:
Raw total energy (eV for the cell shown): -36.4
M_tot (μB/f.u.): 2.04



Here is an optimized crystal structure of MgPb2Br from Alexandria via LeMat-Bulk. Energies are from PBE-GGA.

a b c (Å): 5.473 5.473 5.473
angles (deg): 60.00 60.00 60.00
Atoms (fractional coordinates):
Br 0.500 0.500 0.500
Pb 0.750 0.750 0.750
Pb 0.250 0.250 0.250
Mg 0.000 0.000 0.000

Computed properties:
Excess energy over the best structure of this formula in the dataset (eV/atom): 0.355
M_tot (μB/f.u.): 0.00



Here is an optimized crystal structure of Cd2CuMoS from Alexandria via LeMat-Bulk. Energies are from PBE-GGA.

a b c (Å): 5.138 5.138 4.221
angles (deg): 90.00 90.00 90.00
Each line ends with the local moment (μB).
Atoms (fractional coordinates):
Cd 0.500 0.000 0.000  -0.05
Cd 0.000 0.500 0.000  -0.05
Mo 0.500 0.500 0.500  3.18
Cu 0.000 0.000 0.000  -0.03
S 0.000 0.000 0.500  -0.03

Computed properties:
Raw total energy (eV for the cell shown): -16.4
M_tot (μB/f.u.): 3.57



Among the records above, which one has the highest M_tot?
Cd2CuMoS